# 1
Material: ZnSn4Mo
Method: DFT, GGA-PBE
State: optimized geometry

It has space group I4/mcm (No. 140), with a = 7.062 Å, b = 7.062 Å, c = 10.871 Å, α = 90.00°, β = 90.00° and γ = 90.00°. The distinct sites, in fractional coordinates, are Zn at (0.000, 0.000, 0.000), Sn at (0.156, 0.344, 0.142) and Mo at (0.000, 0.000, 0.250).

Its total magnetization is 0.0 μB per formula unit. For the volume, the calculation gives 135.5 Å³/f.u. The calculation puts the formation energy from the elements at 0.029 eV/atom.



# 2
Material: Zr2SnMo
Method: DFT, GGA-PBE
State: optimized geometry

It has space group P4/mmm (No. 123), with a = 3.564 Å, b = 3.564 Å, c = 6.439 Å, α = 90.00°, β = 90.00° and γ = 90.00°. The distinct sites, in fractional coordinates, are Zr at (0.000, 0.000, 0.235), Sn at (0.500, 0.500, 0.500) and Mo at (0.500, 0.500, 0.000).

Its total magnetization is 0.0 μB per formula unit. For the volume, the calculation gives 81.8 Å³/f.u. The calculation puts the formation energy from the elements at -0.304 eV/atom.



# 3
Material: ZrSn4Mo
Method: DFT, GGA-PBE
State: optimized geometry

It has space group I4/mcm (No. 140), with a = 6.923 Å, b = 6.923 Å, c = 11.614 Å, α = 90.00°, β = 90.00° and γ = 90.00°. The distinct sites, in fractional coordinates, are Zr at (0.000, 0.000, 0.000), Sn at (0.155, 0.345, 0.140) and Mo at (0.000, 0.000, 0.250).

Its total magnetization is 0.0 μB per formula unit. For the volume, the calculation gives 139.2 Å³/f.u. The calculation puts the formation energy from the elements at -0.160 eV/atom.



# 4
Material: Zr12Sn6Mo
Method: DFT, GGA-PBE
State: optimized geometry

It has space group R-3 (No. 148, hexagonal axes), with a = 12.2209 Å, b = 12.2209 Å, c = 11.1185 Å, α = 90.00°, β = 90.00° and γ = 120.00°. The distinct sites, in fractional coordinates, are Zr at (0.0257, 0.8548, 0.3803), Zr at (0.0756, 0.8805, 0.8667), Sn at (0.0375, 0.6273, 0.2962) and Mo at (0.0000, 0.0000, 0.0000).

Its total magnetization is 0.0 μB per formula unit. For the volume, the calculation gives 479.4 Å³/f.u. The calculation puts the formation energy from the elements at 0.003 eV/atom.



# 5
Material: Zr2SnMo
Method: DFT, GGA-PBE
State: optimized geometry

It has space group I-42d (No. 122), with a = 7.800 Å, b = 7.800 Å, c = 5.793 Å, α = 90.00°, β = 90.00° and γ = 90.00°. The distinct sites, in fractional coordinates, are Zr at (0.212, 0.750, 0.125), Sn at (0.000, 0.000, 0.500) and Mo at (0.000, 0.000, 0.000).

Its total magnetization is 0.0 μB per formula unit. For the volume, the calculation gives 88.1 Å³/f.u. The calculation puts the formation energy from the elements at 0.307 eV/atom.



# 6
Material: SrMo
Method: DFT, GGA-PBE
State: optimized geometry

It has space group Cm (No. 8), with a = 12.348 Å, b = 3.900 Å, c = 7.988 Å, α = 90.00°, β = 97.05° and γ = 90.00°. The distinct sites, in fractional coordinates, are Sr at (0.000, 0.000, 0.000), Sr at (0.040, 0.000, 0.552), Sr at (0.257, 0.500, 0.328), Mo at (0.209, 0.500, 0.798), Mo at (0.277, 0.000, 0.978) and Mo at (0.335, 0.000, 0.709).

Its total magnetization is 0.0 μB per formula unit. For the volume, the calculation gives 63.6 Å³/f.u. The calculation puts the formation energy from the elements at 0.686 eV/atom. For the relative energy among the computed polymorphs, the calculation gives 255 meV per atom.



# 7
Material: SrMo2
Method: DFT, GGA-PBE
State: optimized geometry

It has space group C2/m (No. 12), with a = 10.325 Å, b = 3.267 Å, c = 9.192 Å, α = 90.00°, β = 111.13° and γ = 90.00°. The distinct sites, in fractional coordinates, are Sr at (0.166, 0.000, 0.137), Mo at (0.002, 0.500, 0.343) and Mo at (0.159, 0.000, 0.535).

Its total magnetization is 0.0 μB per formula unit. For the volume, the calculation gives 72.3 Å³/f.u. The calculation puts the formation energy from the elements at 0.654 eV/atom. For the relative energy among the computed polymorphs, the calculation gives 0 meV per atom.



# 8
Material: SrMo2
Method: DFT, GGA-PBE
State: optimized geometry

It has space group Pnnm (No. 58), with a = 3.192 Å, b = 7.895 Å, c = 5.942 Å, α = 90.00°, β = 90.00° and γ = 90.00°. The distinct sites, in fractional coordinates, are Sr at (0.000, 0.000, 0.000) and Mo at (0.241, 0.390, 0.000).

Its total magnetization is 0.0 μB per formula unit. For the volume, the calculation gives 74.9 Å³/f.u. The calculation puts the formation energy from the elements at 1.115 eV/atom. For the relative energy among the computed polymorphs, the calculation gives 461 meV per atom.



# 9
Material: SrMo
Method: DFT, GGA-PBE
State: optimized geometry

It has space group I-43m (No. 217), with a = 9.705 Å, b = 9.705 Å, c = 9.705 Å, α = 90.00°, β = 90.00° and γ = 90.00°. The distinct sites, in fractional coordinates, are Sr at (0.213, 0.213, 0.213) and Mo at (0.089, 0.089, 0.911).

Its total magnetization is 0.5 μB per formula unit. For the volume, the calculation gives 114.3 Å³/f.u. The calculation puts the formation energy from the elements at 1.374 eV/atom. For the relative energy among the computed polymorphs, the calculation gives 944 meV per atom.



# 10
Material: SrMo
Method: DFT, GGA-PBE
State: optimized geometry

It has space group Fd-3m (No. 227, origin choice 2), with a = 7.217 Å, b = 7.217 Å, c = 7.217 Å, α = 90.00°, β = 90.00° and γ = 90.00°. The distinct sites, in fractional coordinates, are Sr at (0.125, 0.125, 0.125) and Mo at (0.125, 0.125, 0.625).

Its total magnetization is 0.0 μB per formula unit. For the volume, the calculation gives 47.0 Å³/f.u. The calculation puts the formation energy from the elements at 1.184 eV/atom. For the relative energy among the computed polymorphs, the calculation gives 753 meV per atom.



# 11
Material: SrMo
Method: DFT, GGA-PBE
State: optimized geometry

It has space group P4/mmm (No. 123), with a = 4.182 Å, b = 4.182 Å, c = 2.857 Å, α = 90.00°, β = 90.00° and γ = 90.00°. The distinct sites, in fractional coordinates, are Sr at (0.000, 0.000, 0.000) and Mo at (0.500, 0.500, 0.500).

Its total magnetization is 0.0 μB per formula unit. For the volume, the calculation gives 50.0 Å³/f.u. The calculation puts the formation energy from the elements at 1.550 eV/atom. For the relative energy among the computed polymorphs, the calculation gives 1119 meV per atom.



# 12
Material: SrMo
Method: DFT, GGA-PBE
State: optimized geometry

It has space group P4/mmm (No. 123), with a = 2.914 Å, b = 2.914 Å, c = 5.423 Å, α = 90.00°, β = 90.00° and γ = 90.00°. The distinct sites, in fractional coordinates, are Sr at (0.000, 0.000, 0.000) and Mo at (0.500, 0.500, 0.500).

Its total magnetization is 0.0 μB per formula unit. For the volume, the calculation gives 46.0 Å³/f.u. The calculation puts the formation energy from the elements at 1.235 eV/atom. For the relative energy among the computed polymorphs, the calculation gives 804 meV per atom.